A relaxed KRbCd crystal. Source: Alexandria, functional GGA-PBE.

Structure (extended XYZ):
```
6
Lattice="9.234 -2.515 0.000 9.234 2.515 0.000 -1.520 0.000 7.288" Properties=species:S:1:pos:R:3 pbc="T T T"
K 1.058 0.000 2.144
K 15.891 0.000 5.143
Rb 6.159 0.000 1.170
Rb 10.790 0.000 6.117
Cd 4.028 0.000 4.439
Cd 12.920 0.000 2.848
```

Spin magnetization (μB per cell): 0.0
Space-group type: No. 12
Formation energy from the elements (eV/atom): -0.04